1.
CeGdHoHg after structural relaxation. Source: Alexandria, functional GGA-PBE.

a b c (Å): 5.376 5.376 5.376
angles (deg): 60.00 60.00 60.00
Each line ends with the local moment (μB).
Atoms (fractional coordinates):
Hg (0.250, 0.250, 0.250)  0.00
Gd (0.500, 0.500, 0.500)  7.51
Ho (0.000, 0.000, 0.000)  0.60
Ce (0.750, 0.750, 0.750)  1.38

Computed properties:
* formation energy from the elements: -0.1 eV per formula unit
* magnetic moment: 10.709 μB per cell
* space-group type: F-43m (216)
* DOS(E_F): 7.79 states/eV/f.u.

2.
Sr2TlGePd after structural relaxation. Source: Alexandria, functional GGA-PBE.

a b c (Å): 5.884 5.884 4.744
angles (deg): 90.00 90.00 90.00
Atoms (fractional coordinates):
Ge (0.000, 0.000, 0.500)
Sr (0.500, 0.000, 0.000)
Sr (0.000, 0.500, 0.000)
Tl (0.500, 0.500, 0.500)
Pd (0.000, 0.000, 0.000)

Computed properties:
* formation energy from the elements: -2.1 eV per formula unit
* magnetic moment: 0.000 μB per cell
* space-group type: P4/mmm (123)
* DOS(E_F): 2.10 states/eV/f.u.

3.
AcLa3Er3 after structural relaxation. Source: Alexandria, functional GGA-PBE.

a b c (Å): 13.303 13.358 6.739
angles (deg): 100.10 99.51 117.24
Atoms (fractional coordinates):
Er (0.729, 0.259, 0.300)
Er (0.529, 0.993, 0.762)
Er (0.471, 0.464, 0.233)
Er (0.473, 0.741, 0.039)
Er (0.268, 0.731, 0.306)
Er (0.000, 0.705, 0.393)
Er (0.291, 0.290, 0.705)
Er (0.709, 0.999, 0.414)
Er (0.000, 0.535, 0.779)
Er (0.527, 0.268, 0.566)
Er (0.732, 0.464, 0.039)
Er (0.271, 0.531, 0.571)
La (0.254, 0.993, 0.479)
La (0.000, 0.452, 0.246)
La (0.752, 0.552, 0.570)
La (0.545, 0.544, 0.783)
La (0.206, 0.455, 0.018)
La (0.248, 0.800, 0.818)
La (0.746, 0.739, 0.226)
La (0.794, 0.249, 0.812)
La (0.000, 0.261, 0.525)
La (0.559, 0.750, 0.568)
La (0.441, 0.190, 0.008)
La (0.455, 0.999, 0.237)
Ac (0.000, 0.002, 0.538)
Ac (0.176, 0.190, 0.148)
Ac (0.824, 0.014, 0.972)
Ac (0.000, 0.827, 0.944)

Computed properties:
* polymorph energy (0 for the lowest one): 65 meV per atom
* formation energy from the elements: 0.8 eV per formula unit
* magnetic moment: 0.000 μB per cell
* space-group type: Cm (8)
* DOS(E_F): 10.12 states/eV/f.u.

4.
Pm2CuPd2O6 after structural relaxation. Source: Alexandria, functional GGA-PBE.

a b c (Å): 5.997 5.997 6.105
angles (deg): 60.58 60.58 60.00
Atoms (fractional coordinates):
O (0.192, 0.768, 0.272)
O (0.768, 0.192, 0.272)
O (0.768, 0.768, 0.272)
O (0.232, 0.232, 0.728)
O (0.232, 0.808, 0.728)
O (0.808, 0.232, 0.728)
Pd (0.593, 0.593, 0.222)
Pd (0.407, 0.407, 0.778)
Pm (0.209, 0.209, 0.373)
Pm (0.791, 0.791, 0.627)
Cu (0.000, 0.000, 0.000)

Computed properties:
* energy: -6.142 eV per atom
* magnetic moment: 0.004 μB per cell
* space-group type: R-3m (166)
* DOS(E_F): 8.55 states/eV/f.u.

5.
SrMgSnHg2 after structural relaxation. Source: Alexandria, functional GGA-PBE.

a b c (Å): 4.571 4.571 7.300
angles (deg): 108.24 108.24 90.00
Atoms (fractional coordinates):
Sr (0.000, 0.000, 0.000)
Sn (0.750, 0.250, 0.500)
Hg (0.609, 0.609, 0.218)
Hg (0.391, 0.391, 0.782)
Mg (0.250, 0.750, 0.500)

Computed properties:
* formation energy from the elements: -1.9 eV per formula unit
* magnetic moment: 0.000 μB per cell
* space-group type: I-4m2 (119)
* DOS(E_F): 1.56 states/eV/f.u.

6.
InRe2Hg after structural relaxation. Source: Alexandria, functional GGA-PBE.

a b c (Å): 9.583 9.583 9.583
angles (deg): 17.60 17.60 17.60
Atoms (fractional coordinates):
Hg (0.250, 0.250, 0.250)
Re (0.001, 0.001, 0.001)
Re (0.499, 0.499, 0.499)
In (0.750, 0.750, 0.750)

Computed properties:
* polymorph energy (0 for the lowest one): 527 meV per atom
* formation energy from the elements: 3.3 eV per formula unit
* magnetic moment: 0.000 μB per cell
* space-group type: R-3m (166)
* DOS(E_F): 4.49 states/eV/f.u.

7.
Rb4Ac3SmTe8 after structural relaxation. Source: Alexandria, functional GGA-PBE.

a b c (Å): 9.623 10.238 9.623
angles (deg): 118.05 120.00 90.00
Atoms (fractional coordinates):
Te (0.738, 0.715, 0.477)
Te (0.749, 0.708, 0.978)
Te (0.262, 0.285, 0.523)
Te (0.230, 0.708, 0.460)
Te (0.770, 0.292, 0.540)
Te (0.251, 0.292, 0.022)
Te (0.770, 0.292, 0.022)
Te (0.230, 0.708, 0.978)
Sm (0.000, 0.500, 0.000)
Rb (0.500, 0.000, 0.000)
Rb (0.000, 0.000, 0.000)
Rb (0.500, 0.000, 0.500)
Rb (0.000, 0.000, 0.500)
Ac (0.000, 0.500, 0.500)
Ac (0.500, 0.500, 0.500)
Ac (0.500, 0.500, 0.000)

Computed properties:
* energy: -4.343 eV per atom
* magnetic moment: 0.000 μB per cell
* space-group type: R-3m (166)
* DOS(E_F): 0.00 states/eV/f.u.

8.
Pu3PaPd12 after structural relaxation. Source: Alexandria, functional GGA-PBE.

a b c (Å): 4.154 4.154 16.617
angles (deg): 90.00 90.00 90.00
Each line ends with the local moment (μB).
Atoms (fractional coordinates):
Pd (0.500, 0.000, 0.120)  -0.01
Pd (0.000, 0.500, 0.375)  -0.06
Pd (0.500, 0.000, 0.880)  -0.01
Pd (0.500, 0.500, 0.000)  -0.01
Pd (0.000, 0.500, 0.120)  -0.01
Pd (0.000, 0.500, 0.880)  -0.01
Pd (0.500, 0.500, 0.753)  -0.04
Pd (0.500, 0.500, 0.500)  -0.07
Pd (0.500, 0.500, 0.247)  -0.04
Pd (0.000, 0.500, 0.625)  -0.06
Pd (0.500, 0.000, 0.625)  -0.06
Pd (0.500, 0.000, 0.375)  -0.06
Pu (0.000, 0.000, 0.747)  4.94
Pu (0.000, 0.000, 0.500)  4.84
Pu (0.000, 0.000, 0.253)  4.94
Pa (0.000, 0.000, 0.000)  0.07

Computed properties:
* formation energy from the elements: -10.1 eV per formula unit
* magnetic moment: 14.590 μB per cell
* space-group type: P4/mmm (123)
* DOS(E_F): 49.33 states/eV/f.u.

9.
CuSiNi2 after structural relaxation. Source: Alexandria, functional GGA-PBE.

a b c (Å): 4.381 4.381 4.381
angles (deg): 132.70 132.70 69.12
Atoms (fractional coordinates):
Ni (0.250, 0.750, 0.500)
Ni (0.000, 0.000, 0.000)
Si (0.500, 0.500, 0.000)
Cu (0.750, 0.250, 0.500)

Computed properties:
* energy: -5.542 eV per atom
* magnetic moment: 0.000 μB per cell
* space-group type: I-4m2 (119)
* DOS(E_F): 2.65 states/eV/f.u.

10.
SrAsN3 after structural relaxation. Source: Alexandria, functional GGA-PBE.

a b c (Å): 3.901 3.901 3.901
angles (deg): 90.00 90.00 90.00
Atoms (fractional coordinates):
N (0.000, 0.500, 0.000)
N (0.000, 0.000, 0.500)
N (0.500, 0.000, 0.000)
Sr (0.500, 0.500, 0.500)
As (0.000, 0.000, 0.000)

Computed properties:
* energy: -5.689 eV per atom
* magnetic moment: 0.008 μB per cell
* space-group type: Pm-3m (221)
* DOS(E_F): 3.89 states/eV/f.u.

11.
CaSm7Dy2 after structural relaxation. Source: Alexandria, functional GGA-PBE.

a b c (Å): 6.287 9.625 6.269
angles (deg): 109.07 99.68 102.50
Atoms (fractional coordinates):
Sm (0.000, 0.205, 0.601)
Sm (0.499, 0.103, 0.793)
Sm (0.500, 0.500, 0.000)
Sm (0.501, 0.897, 0.207)
Sm (0.000, 0.595, 0.798)
Sm (0.000, 0.405, 0.202)
Sm (0.000, 0.795, 0.399)
Ca (0.000, 0.000, 0.000)
Dy (0.493, 0.696, 0.596)
Dy (0.507, 0.304, 0.404)

Computed properties:
* formation energy from the elements: 0.4 eV per formula unit
* magnetic moment: 0.000 μB per cell
* space-group type: P-1 (2)
* DOS(E_F): 14.19 states/eV/f.u.

12.
HgBO2 after structural relaxation. Source: Alexandria, functional GGA-PBE.

a b c (Å): 3.979 3.979 3.979
angles (deg): 60.00 60.00 60.00
Atoms (fractional coordinates):
Hg (0.500, 0.500, 0.500)
O (0.250, 0.250, 0.250)
O (0.750, 0.750, 0.750)
B (0.000, 0.000, 0.000)

Computed properties:
* polymorph energy (0 for the lowest one): 2284 meV per atom
* magnetic moment: 0.000 μB per cell
* space-group type: Fm-3m (225)
* DOS(E_F): 1.85 states/eV/f.u.

13.
LaHf2Br2 after structural relaxation. Source: Alexandria, functional GGA-PBE.

a b c (Å): 8.275 8.275 3.420
angles (deg): 90.00 90.00 90.00
Atoms (fractional coordinates):
Hf (0.158, 0.658, 0.500)
Hf (0.658, 0.842, 0.500)
Hf (0.342, 0.158, 0.500)
Hf (0.842, 0.342, 0.500)
Br (0.143, 0.357, 0.000)
Br (0.643, 0.143, 0.000)
Br (0.857, 0.643, 0.000)
Br (0.357, 0.857, 0.000)
La (0.000, 0.000, 0.000)
La (0.500, 0.500, 0.000)

Computed properties:
* polymorph energy (0 for the lowest one): 261 meV per atom
* magnetic moment: 0.000 μB per cell
* space-group type: P4/mbm (127)
* DOS(E_F): 4.23 states/eV/f.u.

14.
SrLiSnPt2 after structural relaxation. Source: Alexandria, functional GGA-PBE.

a b c (Å): 4.238 4.238 6.720
angles (deg): 108.38 108.38 90.00
Atoms (fractional coordinates):
Li (0.750, 0.250, 0.500)
Sn (0.250, 0.750, 0.500)
Pt (0.389, 0.389, 0.778)
Pt (0.611, 0.611, 0.222)
Sr (0.000, 0.000, 0.000)

Computed properties:
* formation energy from the elements: -4.0 eV per formula unit
* magnetic moment: 0.000 μB per cell
* space-group type: I-4m2 (119)
* DOS(E_F): 1.70 states/eV/f.u.

15.
Tb3Dy7Tm after structural relaxation. Source: Alexandria, functional GGA-PBE.

a b c (Å): 5.497 9.915 8.837
angles (deg): 106.21 128.47 89.98
Atoms (fractional coordinates):
Tm (0.500, 0.500, 0.500)
Dy (0.089, 0.171, 0.089)
Dy (0.682, 0.361, 0.182)
Dy (0.911, 0.829, 0.911)
Dy (0.318, 0.639, 0.818)
Dy (0.856, 0.709, 0.356)
Dy (0.500, 0.000, 0.500)
Dy (0.144, 0.291, 0.644)
Tb (0.281, 0.002, 0.782)
Tb (0.719, 0.998, 0.218)
Tb (0.000, 0.500, 0.000)

Computed properties:
* polymorph energy (0 for the lowest one): 0 meV per atom
* formation energy from the elements: 1.6 eV per formula unit
* magnetic moment: 0.000 μB per cell
* space-group type: P2/m (10)
* DOS(E_F): 17.15 states/eV/f.u.

16.
Dy2Y3TmS6 after structural relaxation. Source: Alexandria, functional GGA-PBE.

a b c (Å): 3.893 7.831 8.714
angles (deg): 103.09 102.91 90.00
Atoms (fractional coordinates):
Tm (0.500, 0.000, 0.000)
S (0.000, 0.245, 0.000)
S (0.667, 0.582, 0.333)
S (0.336, 0.917, 0.671)
S (0.664, 0.083, 0.329)
S (0.333, 0.418, 0.667)
S (0.000, 0.755, 0.000)
Dy (0.833, 0.666, 0.665)
Dy (0.167, 0.334, 0.335)
Y (0.168, 0.833, 0.335)
Y (0.832, 0.167, 0.665)
Y (0.500, 0.500, 0.000)

Computed properties:
* energy: -6.804 eV per atom
* magnetic moment: 0.000 μB per cell
* space-group type: C2/m (12)
* DOS(E_F): 5.31 states/eV/f.u.

17.
LaHfIr2 after structural relaxation. Source: Alexandria, functional GGA-PBE.

a b c (Å): 7.427 7.427 6.114
angles (deg): 52.60 52.60 90.00
Atoms (fractional coordinates):
Ir (0.101, 0.625, 0.250)
Ir (0.375, 0.351, 0.750)
Ir (0.649, 0.125, 0.250)
Ir (0.875, 0.899, 0.750)
La (0.500, 0.500, 0.000)
La (0.250, 0.750, 0.500)
Hf (0.000, 0.000, 0.000)
Hf (0.750, 0.250, 0.500)

Computed properties:
* formation energy from the elements: -1.3 eV per formula unit
* magnetic moment: 0.000 μB per cell
* space-group type: I-42d (122)
* DOS(E_F): 2.44 states/eV/f.u.

18.
Sr3In2Hg6Pb after structural relaxation. Source: Alexandria, functional GGA-PBE.

a b c (Å): 6.460 6.460 10.060
angles (deg): 90.00 90.00 120.00
Atoms (fractional coordinates):
Hg (0.177, 0.823, 0.256)
Hg (0.645, 0.823, 0.256)
Hg (0.355, 0.177, 0.744)
Hg (0.823, 0.177, 0.744)
Hg (0.823, 0.645, 0.744)
Hg (0.177, 0.355, 0.256)
Sr (0.333, 0.667, 0.609)
Sr (0.667, 0.333, 0.391)
Sr (0.000, 0.000, 0.000)
In (0.667, 0.333, 0.024)
In (0.333, 0.667, 0.976)
Pb (0.000, 0.000, 0.500)

Computed properties:
* formation energy from the elements: -3.3 eV per formula unit
* magnetic moment: 0.000 μB per cell
* space-group type: P-3m1 (164)
* DOS(E_F): 5.40 states/eV/f.u.

19.
Ti5CoAu after structural relaxation. Source: Alexandria, functional GGA-PBE.

a b c (Å): 5.438 5.438 10.594
angles (deg): 64.50 64.50 59.78
Atoms (fractional coordinates):
Au (0.305, 0.695, 0.750)
Au (0.695, 0.305, 0.250)
Ti (0.672, 0.691, 0.984)
Ti (0.320, 0.135, 0.804)
Ti (0.328, 0.309, 0.016)
Ti (0.820, 0.180, 0.750)
Ti (0.865, 0.680, 0.696)
Ti (0.680, 0.865, 0.196)
Ti (0.691, 0.672, 0.484)
Ti (0.309, 0.328, 0.516)
Ti (0.135, 0.320, 0.304)
Ti (0.180, 0.820, 0.250)
Co (0.000, 0.000, 0.000)
Co (0.000, 0.000, 0.500)

Computed properties:
* formation energy from the elements: 0.0 eV per formula unit
* magnetic moment: 0.000 μB per cell
* space-group type: C2/c (15)
* DOS(E_F): 7.10 states/eV/f.u.

20.
YRe2O8 after structural relaxation. Source: Alexandria, functional GGA-PBE.

a b c (Å): 6.772 6.772 6.775
angles (deg): 120.00 120.00 90.01
Atoms (fractional coordinates):
O (0.643, 0.357, 0.287)
O (0.930, 0.643, 0.287)
O (0.070, 0.357, 0.713)
O (0.643, 0.930, 0.287)
O (0.643, 0.357, 0.713)
O (0.357, 0.643, 0.713)
O (0.357, 0.643, 0.287)
O (0.357, 0.070, 0.713)
Y (0.500, 0.500, 0.000)
Re (0.750, 0.250, 0.500)
Re (0.250, 0.750, 0.500)

Computed properties:
* polymorph energy (0 for the lowest one): 0 meV per atom
* magnetic moment: 0.000 μB per cell
* space-group type: Fm-3m (225)
* DOS(E_F): 2.72 states/eV/f.u.